Here is an optimized crystal structure of YMn2F from the Alexandria database. Energies are from GGA+U.

Geometry as CIF:
```
data_YMn2F
_chemical_formula_sum 'Y4 Mn8 F4'
_cell_length_a 8.027
_cell_length_b 8.027
_cell_length_c 5.086
_cell_angle_alpha 90.00
_cell_angle_beta 90.00
_cell_angle_gamma 90.00
_space_group_name_H-M_alt 'I -4 2 d'
_space_group_IT_number 122
_space_group_name_Hall 'I -4 2bw'
loop_
_atom_site_label
_atom_site_type_symbol
_atom_site_fract_x
_atom_site_fract_y
_atom_site_fract_z
Y1 Y 0.000 0.000 0.000
Mn1 Mn 0.176 0.750 0.625
F1 F 0.000 0.000 0.500
```

Offset from the most stable computed form ... 0.0000 eV per atom
N(E_F) ... 0.842 states/eV/atom
E_tot ... -0.4610 Ry/atom